Record 1
Material: Ag2PCl2F4
Method: DFT, GGA-PBE
State: relaxed Values from VASP.

Quantum ESPRESSO input file:
```
&SYSTEM
  ibrav = 0, nat = 9, ntyp = 4
/
ATOMIC_SPECIES
Ag 107.87 Ag.upf
P 30.97 P.upf
Cl 35.45 Cl.upf
F 19.00 F.upf
CELL_PARAMETERS angstrom
6.5607 -2.5337 0.0000
6.5607 2.5337 0.0000
-0.3559 0.0000 4.9195
ATOMIC_POSITIONS crystal
Ag 0.1630 0.1630 0.3089
Ag 0.8370 0.8370 0.6911
P 0.0000 0.0000 0.0000
Cl 0.3054 0.3054 0.7096
Cl 0.6946 0.6946 0.2904
F 0.1837 0.7278 0.1979
F 0.2722 0.8163 0.8021
F 0.7278 0.1837 0.1979
F 0.8163 0.2722 0.8021
```

Values from the calculation:
formation energy without anion corrections: -1253 meV/atom
crystal system: monoclinic
M_tot: 0.00 μB/atom
total DFT energy (no corrections): -3.73 eV/atom

***

Record 2
Material: ScTa2Al
Method: DFT, GGA-PBE
State: relaxed Values from VASP.

Quantum ESPRESSO input file:
```
&SYSTEM
  ibrav = 0, nat = 4, ntyp = 3
/
ATOMIC_SPECIES
Sc 44.96 Sc.upf
Ta 180.95 Ta.upf
Al 26.98 Al.upf
CELL_PARAMETERS angstrom
4.0247 0.0000 0.0000
0.0000 4.0247 0.0000
0.0000 0.0000 4.5664
ATOMIC_POSITIONS crystal
Sc 0.0000 0.0000 0.0000
Ta 0.0000 0.5000 0.5000
Ta 0.5000 0.0000 0.5000
Al 0.5000 0.5000 0.0000
```

Values from the calculation:
energy of formation from the pure elements: -0.09 eV per atom
crystal system: tetragonal
M_tot: 0.00 μB/atom
total DFT energy (no corrections): -8.53 eV/atom

***

Record 3
Material: La2Pd3Pb
Method: DFT, GGA-PBE
State: relaxed Values from VASP.

Quantum ESPRESSO input file:
```
&SYSTEM
  ibrav = 0, nat = 12, ntyp = 3
/
ATOMIC_SPECIES
La 138.91 La.upf
Pd 106.42 Pd.upf
Pb 207.20 Pb.upf
CELL_PARAMETERS angstrom
4.7310 0.0000 0.0000
-2.3655 4.0972 0.0000
0.0000 0.0000 15.0926
ATOMIC_POSITIONS crystal
La 0.0000 0.0000 0.1168
La 0.0000 0.0000 0.3832
La 0.0000 0.0000 0.6168
La 0.0000 0.0000 0.8832
Pd 0.3333 0.6667 0.0087
Pd 0.3333 0.6667 0.4913
Pd 0.3333 0.6667 0.7500
Pd 0.6667 0.3333 0.2500
Pd 0.6667 0.3333 0.5087
Pd 0.6667 0.3333 0.9913
Pb 0.3333 0.6667 0.2500
Pb 0.6667 0.3333 0.7500
```

Values from the calculation:
energy of formation from the pure elements: -0.70 eV per atom
crystal system: hexagonal
M_tot: 0.00 μB/atom
total DFT energy (no corrections): -5.55 eV/atom

***

Record 4
Material: Ce2DyErSe6
Method: DFT, GGA-PBE
State: relaxed Values from VASP.

Quantum ESPRESSO input file:
```
&SYSTEM
  ibrav = 0, nat = 10, ntyp = 4
/
ATOMIC_SPECIES
Ce 140.12 Ce.upf
Dy 162.50 Dy.upf
Er 167.26 Er.upf
Se 78.96 Se.upf
CELL_PARAMETERS angstrom
3.6797 2.1245 6.4892
-3.6797 2.1245 6.4892
0.0000 -4.2489 6.4892
ATOMIC_POSITIONS crystal
Ce 0.0000 0.0000 0.0000
Ce 0.4995 0.4995 0.4995
Dy 0.2009 0.2009 0.2009
Er 0.7003 0.7003 0.7003
Se 0.0808 0.4176 0.8162
Se 0.3175 0.9146 0.5836
Se 0.4176 0.8162 0.0808
Se 0.5836 0.3175 0.9146
Se 0.8162 0.0808 0.4176
Se 0.9146 0.5836 0.3175
```

Values from the calculation:
formation energy without anion corrections: -1795 meV/atom
crystal system: trigonal
M_tot: 0.20 μB/atom
total DFT energy (no corrections): -5.99 eV/atom

***

Record 5
Material: Cs3CePu2S6
Method: DFT, GGA-PBE
State: relaxed Values from VASP.

Quantum ESPRESSO input file:
```
&SYSTEM
  ibrav = 0, nat = 12, ntyp = 4
/
ATOMIC_SPECIES
Cs 132.91 Cs.upf
Ce 140.12 Ce.upf
Pu 244.00 Pu.upf
S 32.06 S.upf
CELL_PARAMETERS angstrom
3.6369 -6.3000 0.0000
3.6369 6.3000 0.0000
-2.4268 0.0000 8.0428
ATOMIC_POSITIONS crystal
Cs 0.0000 0.0000 0.0000
Cs 0.3332 0.6668 0.0000
Cs 0.6668 0.3332 0.0000
Ce 0.5000 0.5000 0.5000
Pu 0.1666 0.8334 0.5000
Pu 0.8334 0.1666 0.5000
S 0.1039 0.4397 0.3192
S 0.2247 0.2247 0.6809
S 0.4397 0.1039 0.3192
S 0.5603 0.8961 0.6808
S 0.7753 0.7753 0.3191
S 0.8961 0.5603 0.6808
```

Values from the calculation:
formation energy without anion corrections: -1617 meV/atom
crystal system: monoclinic
M_tot: 0.92 μB/atom
total DFT energy (no corrections): -6.78 eV/atom

***

Record 6
Material: YPa3N4
Method: DFT, GGA-PBE
State: relaxed Values from VASP.

Quantum ESPRESSO input file:
```
&SYSTEM
  ibrav = 0, nat = 8, ntyp = 3
/
ATOMIC_SPECIES
Y 88.91 Y.upf
Pa 231.04 Pa.upf
N 14.01 N.upf
CELL_PARAMETERS angstrom
3.4962 -4.9324 0.0000
3.4962 4.9324 0.0000
0.0000 0.0000 3.4938
ATOMIC_POSITIONS crystal
Y 0.0000 0.0000 0.0000
Pa 0.0000 0.5000 0.5000
Pa 0.5000 0.0000 0.5000
Pa 0.5000 0.5000 0.0000
N 0.2491 0.7509 0.0000
N 0.2532 0.2532 0.5000
N 0.7468 0.7468 0.5000
N 0.7509 0.2491 0.0000
```

Values from the calculation:
formation energy without anion corrections: -1640 meV/atom
crystal system: orthorhombic
M_tot: 0.00 μB/atom
total DFT energy (no corrections): -10.17 eV/atom